VASP calculation (PBE) on crystalline CaMnAl2 at its relaxed geometry.

```
4
Lattice="2.168 1.252 5.301 -2.168 1.252 5.301 0.000 -2.503 5.301" Properties=species:S:1:pos:R:3 pbc="T T T"
Ca 0.000 0.000 0.000
Mn 0.000 0.000 7.951
Al 0.000 0.000 3.213
Al 0.000 0.000 12.689
```

Properties
- space group = No. 166
- E_form (eV per atom) = -0.05


VASP calculation (PBE) on crystalline CaMn4Al8 at its relaxed geometry.

```
13
Lattice="-4.402 4.402 2.481 4.402 -4.402 2.481 4.402 4.402 -2.481" Properties=species:S:1:pos:R:3 pbc="T T T"
Ca 0.000 0.000 0.000
Mn 2.201 2.201 -1.241
Mn 2.201 -2.201 1.241
Mn -2.201 2.201 1.241
Mn 2.201 2.201 1.241
Al 2.985 0.000 0.000
Al 5.818 0.000 0.000
Al 4.402 2.439 0.000
Al 0.000 2.985 0.000
Al 2.439 4.402 0.000
Al 1.963 0.000 2.481
Al 0.000 5.818 0.000
Al 0.000 1.963 2.481
```

Properties
- space group = No. 139
- E_form (eV per atom) = -0.25


VASP calculation (PBE) on crystalline CaMnAl2 at its relaxed geometry.

```
4
Lattice="3.059 0.000 0.000 0.000 4.266 0.000 -0.119 0.000 6.244" Properties=species:S:1:pos:R:3 pbc="T T T"
Ca 0.000 0.000 0.000
Mn 2.941 2.133 2.400
Al 1.424 0.000 2.931
Al 1.413 2.133 4.546
```

Properties
- space group = No. 6
- E_form (eV per atom) = 0.04


VASP calculation (PBE) on crystalline CaMnAl at its relaxed geometry.

```
3
Lattice="-1.670 1.670 5.685 1.670 -1.670 5.685 1.670 1.670 -5.685" Properties=species:S:1:pos:R:3 pbc="T T T"
Ca 0.000 0.000 0.000
Mn 0.000 0.000 7.944
Al 0.000 0.000 3.425
```

Properties
- space group = No. 107
- E_form (eV per atom) = 0.10


VASP calculation (PBE) on crystalline CaMnAl11 at its relaxed geometry.

```
13
Lattice="2.609 -6.391 0.000 2.609 6.391 0.000 -2.469 0.000 6.633" Properties=species:S:1:pos:R:3 pbc="T T T"
Ca 0.000 0.000 0.000
Mn 1.375 0.000 3.316
Al -1.234 0.000 3.316
Al 1.305 3.196 0.000
Al 0.123 2.192 2.408
Al 0.156 1.367 5.133
Al 0.123 -2.192 2.408
Al 2.594 1.367 1.500
Al 1.305 -3.196 0.000
Al 0.156 -1.367 5.133
Al 2.627 2.192 4.225
Al 2.594 -1.367 1.500
Al 2.627 -2.192 4.225
```

Properties
- space group = No. 12
- E_form (eV per atom) = -0.13


VASP calculation (PBE) on crystalline CaMn2Al at its relaxed geometry.

```
4
Lattice="3.073 0.000 0.000 0.000 3.097 0.000 0.000 0.000 7.558" Properties=species:S:1:pos:R:3 pbc="T T T"
Ca 0.000 0.000 0.000
Mn 0.000 0.000 4.019
Mn 1.536 1.549 5.111
Al 1.536 1.549 2.389
```

Properties
- space group = No. 25
- E_form (eV per atom) = 0.12


VASP calculation (PBE) on crystalline CaMn2Al at its relaxed geometry.

```
4
Lattice="4.385 -1.662 0.000 4.385 1.662 0.000 -1.347 0.000 5.217" Properties=species:S:1:pos:R:3 pbc="T T T"
Ca 0.000 0.000 0.000
Mn 1.286 0.000 3.201
Mn 6.138 0.000 2.016
Al 3.712 0.000 2.608
```

Properties
- space group = No. 12
- E_form (eV per atom) = 0.30


VASP calculation (PBE) on crystalline CaMnAl2 at its relaxed geometry.

```
4
Lattice="2.964 -4.423 0.000 2.964 4.423 0.000 0.000 0.000 2.992" Properties=species:S:1:pos:R:3 pbc="T T T"
Ca 0.000 0.000 0.000
Mn 2.964 0.000 0.000
Al 1.482 2.212 1.496
Al 1.482 -2.212 1.496
```

Properties
- space group = No. 65
- E_form (eV per atom) = 0.15


VASP calculation (PBE) on crystalline Ca4MnAl at its relaxed geometry.

```
6
Lattice="0.000 4.629 4.629 4.629 0.000 4.629 4.629 4.629 0.000" Properties=species:S:1:pos:R:3 pbc="T T T"
Ca 1.158 1.158 1.158
Ca 3.471 3.471 1.158
Ca 3.471 1.158 3.471
Ca 1.158 3.471 3.471
Mn 6.944 6.944 6.944
Al 4.629 4.629 4.629
```

Properties
- space group = No. 216
- E_form (eV per atom) = 0.68


VASP calculation (PBE) on crystalline CaMn3Al at its relaxed geometry.

```
5
Lattice="4.744 0.000 0.000 0.000 4.744 0.000 0.000 0.000 4.744" Properties=species:S:1:pos:R:3 pbc="T T T"
Ca 0.000 0.000 0.000
Mn 0.000 2.372 2.372
Mn 2.372 0.000 2.372
Mn 2.372 2.372 0.000
Al 2.372 2.372 2.372
```

Properties
- distance to the lowest polymorph of the same formula (meV/atom) = 0
- space group = No. 221
- E_form (eV per atom) = 0.68


VASP calculation (PBE) on crystalline Ca3MnAl at its relaxed geometry.

```
5
Lattice="5.816 0.000 0.000 0.000 5.816 0.000 0.000 0.000 5.816" Properties=species:S:1:pos:R:3 pbc="T T T"
Ca 0.000 0.000 2.908
Ca 0.000 2.908 0.000
Ca 2.908 0.000 0.000
Mn 2.908 2.908 2.908
Al 0.000 0.000 0.000
```

Properties
- distance to the lowest polymorph of the same formula (meV/atom) = 16
- space group = No. 221
- E_form (eV per atom) = 0.56


VASP calculation (PBE) on crystalline CaMnAl at its relaxed geometry.

```
3
Lattice="3.295 0.000 0.000 -1.648 2.854 0.000 0.000 0.000 7.036" Properties=species:S:1:pos:R:3 pbc="T T T"
Ca 0.000 0.000 0.000
Mn 1.648 0.951 2.614
Al 0.000 1.903 4.476
```

Properties
- space group = No. 156
- E_form (eV per atom) = 0.39